A relaxed As3Ir crystal, computed with PBE-GGA.

Unit cell a=5.214 b=5.214 c=5.214 alpha=90.00 beta=90.00 gamma=90.00
Space group Pm-3n (No. 223)
Unique sites:
As1 0.000 0.250 0.500 x6
Ir1 0.000 0.000 0.000 x2

Values from the calculation:
DFT formation energy: 43.4 kJ per mole of atoms
DOS(E_F): 0.409 states/eV per atom
Total DFT energy (no corrections): -5.253 eV/atom
Energy above the most stable polymorph in this dataset: 877.7 meV per atom